8
Lattice="7.143 0.000 0.000 0.000 4.117 0.000 -2.380 0.000 7.661" Properties=species:S:1:pos:R:3 comment="Rb2DyPuS4 (PBE, optimized geometry)" m_tot_mub_per_cell=5.00 mass_density_g_cm3=5.2 pbc="T T T"
Rb 0.000 0.000 0.000
Rb 3.572 2.059 0.000
Dy -1.190 2.059 3.830
Pu 2.382 0.000 3.830
S -0.027 0.000 5.303
S 1.177 2.059 2.374
S 3.587 2.059 5.287
S 4.790 0.000 2.358

=====

15
Lattice="4.043 2.334 7.809 -4.043 2.334 7.809 0.000 -4.668 7.809" Properties=species:S:1:pos:R:3 comment="Rb3Dy3PuS8 (PBE, optimized geometry)" m_tot_mub_per_cell=4.00 mass_density_g_cm3=4.7 pbc="T T T"
Rb -2.021 -1.167 7.809
Rb -2.021 1.167 15.618
Rb 0.000 2.334 7.809
Dy -4.043 0.000 11.713
Dy -2.021 1.167 3.904
Dy 2.021 1.167 3.904
Pu 0.000 0.000 11.713
S 0.000 0.000 5.391
S -1.985 -1.146 13.163
S 0.000 -2.293 10.264
S -1.985 1.146 10.264
S 1.985 -1.146 13.163
S 0.000 2.293 13.163
S 1.985 1.146 10.264
S 0.000 0.000 18.036

=====

15
Lattice="4.073 2.351 7.757 -4.073 2.351 7.757 0.000 -4.703 7.757" Properties=species:S:1:pos:R:3 comment="Rb3DyPu3S8 (PBE, optimized geometry)" m_tot_mub_per_cell=14.00 mass_density_g_cm3=5.2 pbc="T T T"
Rb -2.036 -1.176 7.757
Rb -2.036 1.176 15.515
Rb 0.000 2.351 7.757
Dy 0.000 0.000 11.636
Pu -4.073 0.000 11.636
Pu -2.036 1.176 3.879
Pu 2.036 1.176 3.879
S -2.041 -1.178 13.072
S 0.000 0.000 5.329
S 0.000 -2.356 10.201
S -2.041 1.178 10.201
S 2.041 -1.178 13.072
S 0.000 2.356 13.072
S 0.000 0.000 17.944
S 2.041 1.178 10.201

=====

12
Lattice="3.562 -6.172 0.000 3.562 6.172 0.000 -2.371 0.000 7.667" Properties=species:S:1:pos:R:3 comment="Rb3Dy2PuS6 (PBE, optimized geometry)" m_tot_mub_per_cell=5.00 mass_density_g_cm3=5.0 pbc="T T T"
Rb 0.000 0.000 0.000
Rb 3.562 2.060 0.000
Rb 3.562 -2.060 0.000
Dy 2.377 4.115 3.834
Dy 2.377 -4.115 3.834
Pu 2.377 0.000 3.834
S 1.175 2.080 2.366
S -0.023 0.000 5.303
S 1.175 -2.080 2.366
S 3.578 2.080 5.301
S 4.777 0.000 2.364
S 3.578 -2.080 5.301

=====

16
Lattice="4.104 2.369 7.672 -4.104 2.369 7.672 0.000 -4.739 7.672" Properties=species:S:1:pos:R:3 comment="Rb4Dy3PuS8 (PBE, optimized geometry)" m_tot_mub_per_cell=5.00 mass_density_g_cm3=4.9 pbc="T T T"
Rb 0.000 0.000 0.000
Rb -2.052 -1.185 7.672
Rb -2.052 1.185 15.345
Rb 0.000 2.369 7.672
Dy -4.104 0.000 11.509
Dy -2.052 1.185 3.836
Dy 2.052 1.185 3.836
Pu 0.000 0.000 11.509
S -2.073 -1.197 12.977
S 0.000 0.000 5.310
S 0.000 -2.393 10.040
S -2.073 1.197 10.040
S 2.073 -1.197 12.977
S 0.000 2.393 12.977
S 0.000 0.000 17.707
S 2.073 1.197 10.040

=====

12
Lattice="3.572 -6.187 0.000 3.572 6.187 0.000 -2.381 0.000 7.664" Properties=species:S:1:pos:R:3 comment="Rb3DyPu2S6 (PBE, optimized geometry)" m_tot_mub_per_cell=10.00 mass_density_g_cm3=5.4 pbc="T T T"
Rb 0.000 0.000 0.000
Rb 3.572 2.062 0.000
Rb 3.572 -2.062 0.000
Dy 2.381 0.000 3.832
Pu 2.381 4.124 3.832
Pu 2.381 -4.124 3.832
S 1.196 2.052 2.368
S 0.011 0.000 5.296
S 1.196 -2.052 2.368
S 3.566 2.052 5.296
S 4.751 0.000 2.368
S 3.566 -2.052 5.296

=====

How do the records compare in E_form (uncorrected)? In the order shown, they have -1.693; -1.770; -1.635; -1.739; -1.769; -1.648 eV per atom.